1.
A geometry-optimized TbVPd structure. Source: Alexandria, functional GGA-PBE.

Geometry as POSCAR:
```
TbVPd
1.0
3.562 0.000 0.000
0.000 3.562 0.000
0.000 0.000 9.505
Tb V Pd
2 2 2
direct
0.000 0.000 0.182
0.000 0.000 0.818
0.500 0.500 0.397
0.500 0.500 0.603
0.000 0.000 0.500
0.500 0.500 0.000
```

Energy of formation from the pure elements: -137 meV per atom
Total magnetic moment: 0.00 μB per atom
VASP energy: -6.451 eV per atom

2.
A geometry-optimized TbVPd2 structure. Source: Alexandria, functional GGA-PBE.

Geometry as POSCAR:
```
TbVPd2
1.0
4.539 0.000 0.000
0.000 4.539 0.000
0.000 0.000 3.588
Tb V Pd
1 1 2
direct
0.000 0.000 0.000
0.500 0.500 0.000
0.000 0.500 0.500
0.500 0.000 0.500
```

Energy of formation from the pure elements: -384 meV per atom
Total magnetic moment: 0.77 μB per atom
VASP energy: -6.418 eV per atom

3.
A geometry-optimized TbV2Pd9 structure. Source: Alexandria, functional GGA-PBE.

Geometry as POSCAR:
```
TbV2Pd9
1.0
3.978 0.000 0.000
0.000 3.978 0.000
0.000 0.000 11.921
Tb V Pd
1 2 9
direct
0.000 0.000 0.000
0.000 0.000 0.337
0.000 0.000 0.663
0.000 0.500 0.183
0.000 0.500 0.500
0.000 0.500 0.817
0.500 0.000 0.183
0.500 0.000 0.500
0.500 0.000 0.817
0.500 0.500 0.000
0.500 0.500 0.341
0.500 0.500 0.659
```

Energy of formation from the pure elements: -433 meV per atom
Total magnetic moment: 0.16 μB per atom
VASP energy: -6.234 eV per atom

4.
A geometry-optimized Tb2YPd structure. Source: Alexandria, functional GGA-PBE.

Geometry as POSCAR:
```
Tb2YPd
1.0
3.822 0.000 0.000
0.000 12.207 0.000
0.000 0.000 9.400
Tb Y Pd
8 4 4
direct
0.000 0.136 0.060
0.000 0.136 0.440
0.000 0.864 0.560
0.000 0.864 0.940
0.500 0.364 0.560
0.500 0.364 0.940
0.500 0.636 0.060
0.500 0.636 0.440
0.000 0.436 0.250
0.000 0.564 0.750
0.500 0.064 0.750
0.500 0.936 0.250
0.000 0.264 0.750
0.000 0.736 0.250
0.500 0.236 0.250
0.500 0.764 0.750
```

Energy of formation from the pure elements: -453 meV per atom
Total magnetic moment: 0.00 μB per atom
VASP energy: -5.682 eV per atom
Energy relative to the lowest polymorph listed for this composition: 16 meV per atom

5.
A geometry-optimized Tb2YPd structure. Source: Alexandria, functional GGA-PBE.

Geometry as POSCAR:
```
Tb2YPd
1.0
3.753 0.000 0.000
-1.876 3.250 0.000
0.000 0.000 28.652
Tb Y Pd
6 3 3
direct
0.000 0.000 0.000
0.000 0.000 0.203
0.333 0.667 0.667
0.333 0.667 0.870
0.667 0.333 0.333
0.667 0.333 0.536
0.000 0.000 0.436
0.333 0.667 0.102
0.667 0.333 0.769
0.000 0.000 0.601
0.333 0.667 0.268
0.667 0.333 0.935
```

Energy of formation from the pure elements: -295 meV per atom
Total magnetic moment: 0.09 μB per atom
VASP energy: -5.524 eV per atom
Energy relative to the lowest polymorph listed for this composition: 174 meV per atom

6.
A geometry-optimized Tb3YPd3 structure. Source: Alexandria, functional GGA-PBE.

Geometry as POSCAR:
```
Tb3YPd3
1.0
4.621 -5.247 0.000
4.621 5.247 0.000
-0.262 0.000 7.112
Tb Y Pd
6 2 6
direct
0.177 0.823 0.000
0.250 0.750 0.500
0.347 0.347 0.133
0.653 0.653 0.867
0.750 0.250 0.500
0.823 0.177 0.000
0.263 0.263 0.622
0.737 0.737 0.378
0.013 0.504 0.778
0.061 0.061 0.307
0.496 0.987 0.222
0.504 0.013 0.778
0.939 0.939 0.693
0.987 0.496 0.222
```

Energy of formation from the pure elements: -686 meV per atom
Total magnetic moment: 0.00 μB per atom
VASP energy: -5.820 eV per atom

7.
A geometry-optimized Tb4YPd2 structure. Source: Alexandria, functional GGA-PBE.

Geometry as POSCAR:
```
Tb4YPd2
1.0
2.004 1.157 14.887
-2.004 1.157 14.887
0.000 -2.314 14.887
Tb Y Pd
4 1 2
direct
0.104 0.104 0.104
0.302 0.302 0.302
0.698 0.698 0.698
0.896 0.896 0.896
0.500 0.500 0.500
0.401 0.401 0.401
0.599 0.599 0.599
```

Energy of formation from the pure elements: -349 meV per atom
Total magnetic moment: 0.00 μB per atom
VASP energy: -5.402 eV per atom
Energy relative to the lowest polymorph listed for this composition: 80 meV per atom

8.
A geometry-optimized Tb4Y3Pd4 structure. Source: Alexandria, functional GGA-PBE.

Geometry as POSCAR:
```
Tb4Y3Pd4
1.0
-1.938 4.568 7.942
1.938 -4.568 7.942
1.938 4.568 -7.942
Tb Y Pd
4 3 4
direct
0.024 0.838 0.186
0.348 0.162 0.186
0.652 0.838 0.814
0.976 0.162 0.814
0.000 0.500 0.500
0.393 0.393 0.000
0.607 0.607 0.000
0.246 0.746 0.500
0.327 0.000 0.327
0.673 0.000 0.673
0.754 0.254 0.500
```

Energy of formation from the pure elements: -582 meV per atom
Total magnetic moment: 0.00 μB per atom
VASP energy: -5.916 eV per atom

What is the formula in the seventh record? Tb4YPd2